(1)
Compound: MnIn2Ag
Source: the Alexandria database
Functional: PBE
Structure: relaxed Values from VASP.

Quantum ESPRESSO input file:
```
&SYSTEM
  ibrav = 0, nat = 4, ntyp = 3
/
ATOMIC_SPECIES
In 114.82 In.upf
Mn 54.94 Mn.upf
Ag 107.87 Ag.upf
ATOMIC_POSITIONS crystal
In 0.998 0.998 0.998
In 0.502 0.502 0.502
Mn 0.250 0.250 0.250
Ag 0.750 0.750 0.750
CELL_PARAMETERS angstrom
9.280 -0.077 -0.045
8.747 3.099 -0.045
8.747 1.466 2.731
```

- Crystal system: trigonal
- Polymorph energy (0 for the lowest one): 73 meV/atom
- Symmetry: R-3m, No. 166
- DFT formation energy: 216 meV/atom

=====

(2)
Compound: CaTb2TmHg4
Source: the Alexandria database
Functional: PBE
Structure: relaxed Values from VASP.

Quantum ESPRESSO input file:
```
&SYSTEM
  ibrav = 0, nat = 8, ntyp = 4
/
ATOMIC_SPECIES
Hg 200.59 Hg.upf
Ca 40.08 Ca.upf
Tb 158.93 Tb.upf
Tm 168.93 Tm.upf
ATOMIC_POSITIONS crystal
Hg 0.127 0.127 0.620
Hg 0.377 0.377 0.870
Hg 0.623 0.623 0.130
Hg 0.873 0.873 0.380
Ca 0.000 0.000 0.000
Tb 0.749 0.749 0.753
Tb 0.251 0.251 0.247
Tm 0.500 0.500 0.500
CELL_PARAMETERS angstrom
-0.844 3.586 3.762
-4.545 0.007 2.659
1.610 -4.125 7.977
```

- Crystal system: trigonal
- Symmetry: R-3m, No. 166
- DFT formation energy: -514 meV/atom

=====

(3)
Compound: LaSi2P
Source: the Alexandria database
Functional: PBE
Structure: relaxed Values from VASP.

Quantum ESPRESSO input file:
```
&SYSTEM
  ibrav = 0, nat = 8, ntyp = 3
/
ATOMIC_SPECIES
P 30.97 P.upf
Si 28.09 Si.upf
La 138.91 La.upf
ATOMIC_POSITIONS crystal
P 0.250 0.750 0.500
P 0.500 0.500 0.000
Si 0.875 0.791 0.750
Si 0.209 0.625 0.250
Si 0.541 0.125 0.250
Si 0.375 0.459 0.750
La 0.000 0.000 0.000
La 0.750 0.250 0.500
CELL_PARAMETERS angstrom
7.163 0.000 0.000
0.000 7.163 0.000
3.582 3.582 3.434
```

- Energy relative to the elements, uncorrected: -0.227 eV/atom
- Crystal system: tetragonal
- Symmetry: I-42d, No. 122

=====

(4)
Compound: Pm5Pr2Co4
Source: the Alexandria database
Functional: PBE
Structure: relaxed Values from VASP.

Quantum ESPRESSO input file:
```
&SYSTEM
  ibrav = 0, nat = 11, ntyp = 3
/
ATOMIC_SPECIES
Pm 145.00 Pm.upf
Co 58.93 Co.upf
Pr 140.91 Pr.upf
ATOMIC_POSITIONS crystal
Pm 0.331 0.750 0.104
Pm 0.669 0.250 0.896
Pm 0.185 0.250 0.896
Pm 0.000 0.500 0.500
Pm 0.815 0.750 0.104
Co 0.779 0.599 0.842
Co 0.221 0.401 0.158
Co 0.675 0.939 0.710
Co 0.325 0.061 0.290
Pr 0.719 0.176 0.387
Pr 0.281 0.824 0.613
CELL_PARAMETERS angstrom
-1.309 -4.440 4.888
-0.063 -6.816 -1.573
6.411 -2.963 3.661
```

- Crystal system: monoclinic
- Symmetry: C2/m, No. 12
- DFT formation energy: 122 meV/atom

=====

(5)
Compound: CdNiCl2
Source: the Alexandria database
Functional: PBE
Structure: relaxed Values from VASP.

Quantum ESPRESSO input file:
```
&SYSTEM
  ibrav = 0, nat = 4, ntyp = 3
/
ATOMIC_SPECIES
Cd 112.41 Cd.upf
Cl 35.45 Cl.upf
Ni 58.69 Ni.upf
ATOMIC_POSITIONS crystal
Cd 0.728 0.228 0.500
Cl 0.333 0.833 0.500
Cl 0.950 0.950 0.000
Ni 0.489 0.489 0.000
CELL_PARAMETERS angstrom
-2.104 4.359 -3.655
-5.106 0.553 3.228
5.972 0.958 -0.466
```

- Energy relative to the elements, uncorrected: -0.295 eV/atom
- Crystal system: orthorhombic
- Polymorph energy (0 for the lowest one): 98 meV/atom
- Symmetry: Imm2, No. 44

=====

(6)
Compound: Ac2In2Cu15
Source: the Alexandria database
Functional: PBE
Structure: relaxed Values from VASP.

Quantum ESPRESSO input file:
```
&SYSTEM
  ibrav = 0, nat = 19, ntyp = 3
/
ATOMIC_SPECIES
Cu 63.55 Cu.upf
In 114.82 In.upf
Ac 227.00 Ac.upf
ATOMIC_POSITIONS crystal
Cu 0.296 0.704 0.000
Cu 0.704 0.000 0.296
Cu 0.000 0.500 0.000
Cu 0.000 0.704 0.296
Cu 0.847 0.345 0.345
Cu 0.345 0.847 0.345
Cu 0.296 0.000 0.704
Cu 0.345 0.345 0.847
Cu 0.153 0.655 0.655
Cu 0.655 0.655 0.153
Cu 0.655 0.153 0.655
Cu 0.000 0.296 0.704
Cu 0.500 0.000 0.000
Cu 0.704 0.296 0.000
Cu 0.000 0.000 0.500
In 0.893 0.893 0.893
In 0.107 0.107 0.107
Ac 0.644 0.644 0.644
Ac 0.356 0.356 0.356
CELL_PARAMETERS angstrom
-1.159 -6.591 1.052
0.512 -1.983 -6.458
6.480 -1.964 0.237
```

- Crystal system: trigonal
- Symmetry: R-3m, No. 166
- DFT formation energy: -51 meV/atom

=====

(7)
Compound: NaLuSc2
Source: the Alexandria database
Functional: PBE
Structure: relaxed Values from VASP.

Quantum ESPRESSO input file:
```
&SYSTEM
  ibrav = 0, nat = 4, ntyp = 3
/
ATOMIC_SPECIES
Lu 174.97 Lu.upf
Sc 44.96 Sc.upf
Na 22.99 Na.upf
ATOMIC_POSITIONS crystal
Lu 0.500 0.500 0.500
Sc 0.092 0.092 0.723
Sc 0.908 0.908 0.277
Na 0.000 0.000 0.000
CELL_PARAMETERS angstrom
-2.061 2.557 -0.307
-1.253 0.762 -2.955
-10.482 -6.200 1.006
```

- Crystal system: trigonal
- Symmetry: R-3m, No. 166
- DFT formation energy: 226 meV/atom

=====

(8)
Compound: Er2PaHg
Source: the Alexandria database
Functional: PBE
Structure: relaxed Values from VASP.

Quantum ESPRESSO input file:
```
&SYSTEM
  ibrav = 0, nat = 4, ntyp = 3
/
ATOMIC_SPECIES
Hg 200.59 Hg.upf
Er 167.26 Er.upf
Pa 231.04 Pa.upf
ATOMIC_POSITIONS crystal
Hg 0.500 0.500 0.000
Er 0.000 0.000 0.236
Er 0.000 0.000 0.764
Pa 0.500 0.500 0.500
CELL_PARAMETERS angstrom
3.441 0.000 0.000
0.000 3.441 0.000
0.000 0.000 8.847
```

- Crystal system: tetragonal
- Polymorph energy (0 for the lowest one): 0 meV/atom
- Symmetry: P4/mmm, No. 123
- DFT formation energy: -149 meV/atom

=====

(9)
Compound: BaNaSe
Source: the Alexandria database
Functional: PBE
Structure: relaxed Values from VASP.

Quantum ESPRESSO input file:
```
&SYSTEM
  ibrav = 0, nat = 6, ntyp = 3
/
ATOMIC_SPECIES
Se 78.96 Se.upf
Na 22.99 Na.upf
Ba 137.33 Ba.upf
ATOMIC_POSITIONS crystal
Se 0.284 0.284 0.147
Se 0.716 0.716 0.853
Na 0.192 0.192 0.424
Na 0.808 0.808 0.576
Ba 0.387 0.387 0.839
Ba 0.613 0.613 0.161
CELL_PARAMETERS angstrom
5.538 0.000 0.000
2.769 4.796 0.000
2.769 1.599 10.510
```

- Energy relative to the elements, uncorrected: -1.163 eV/atom
- Crystal system: trigonal
- Polymorph energy (0 for the lowest one): 0 meV/atom
- Symmetry: R-3m, No. 166

=====

(10)
Compound: CuTc2
Source: the Alexandria database
Functional: PBE
Structure: relaxed Values from VASP.

Quantum ESPRESSO input file:
```
&SYSTEM
  ibrav = 0, nat = 9, ntyp = 2
/
ATOMIC_SPECIES
Tc 98.00 Tc.upf
Cu 63.55 Cu.upf
ATOMIC_POSITIONS crystal
Tc 0.000 0.000 0.280
Tc 0.333 0.667 0.386
Tc 0.667 0.333 0.614
Tc 0.333 0.667 0.947
Tc 0.000 0.000 0.720
Tc 0.667 0.333 0.053
Cu 0.667 0.333 0.833
Cu 0.000 0.000 0.500
Cu 0.333 0.667 0.167
CELL_PARAMETERS angstrom
-1.033 -1.267 2.195
-0.432 -1.025 -2.501
16.293 -10.620 1.539
```

- Crystal system: trigonal
- Polymorph energy (0 for the lowest one): 8 meV/atom
- Symmetry: R-3m, No. 166
- DFT formation energy: 97 meV/atom

=====

(11)
Compound: RbCrNi3
Source: the Alexandria database
Functional: PBE
Structure: relaxed Values from VASP.

Quantum ESPRESSO input file:
```
&SYSTEM
  ibrav = 0, nat = 5, ntyp = 3
/
ATOMIC_SPECIES
Cr 52.00 Cr.upf
Ni 58.69 Ni.upf
Rb 85.47 Rb.upf
ATOMIC_POSITIONS crystal
Cr 0.500 0.500 0.500
Ni 0.000 0.000 0.500
Ni 0.000 0.500 0.000
Ni 0.500 0.000 0.000
Rb 0.000 0.000 0.000
CELL_PARAMETERS angstrom
-4.123 0.677 1.829
-1.926 -2.081 -3.572
0.304 -4.001 2.167
```

- Crystal system: cubic
- Polymorph energy (0 for the lowest one): 1591 meV/atom
- Symmetry: Pm-3m, No. 221
- DFT formation energy: 2701 meV/atom

=====

(12)
Compound: KLi3Cr
Source: the Alexandria database
Functional: PBE
Structure: relaxed Values from VASP.

Quantum ESPRESSO input file:
```
&SYSTEM
  ibrav = 0, nat = 5, ntyp = 3
/
ATOMIC_SPECIES
Li 6.94 Li.upf
K 39.10 K.upf
Cr 52.00 Cr.upf
ATOMIC_POSITIONS crystal
Li 0.000 0.500 0.000
Li 0.000 0.000 0.500
Li 0.500 0.000 0.000
K 0.000 0.000 0.000
Cr 0.500 0.500 0.500
CELL_PARAMETERS angstrom
4.711 0.000 0.000
0.000 4.711 0.000
0.000 0.000 4.711
```

- Crystal system: cubic
- Polymorph energy (0 for the lowest one): 1048 meV/atom
- Symmetry: Pm-3m, No. 221
- DFT formation energy: 1611 meV/atom

=====

(13)
Compound: Mg2Cd13
Source: the Alexandria database
Functional: PBE
Structure: relaxed Values from VASP.

Quantum ESPRESSO input file:
```
&SYSTEM
  ibrav = 0, nat = 15, ntyp = 2
/
ATOMIC_SPECIES
Cd 112.41 Cd.upf
Mg 24.30 Mg.upf
ATOMIC_POSITIONS crystal
Cd 0.464 0.869 0.800
Cd 0.265 0.068 0.598
Cd 0.536 0.131 0.200
Cd 0.603 0.396 0.594
Cd 0.803 0.199 0.804
Cd 0.735 0.932 0.402
Cd 0.333 0.340 0.004
Cd 0.397 0.604 0.406
Cd 0.000 0.000 0.000
Cd 0.667 0.660 0.996
Cd 0.131 0.529 0.788
Cd 0.197 0.801 0.196
Cd 0.869 0.471 0.212
Mg 0.069 0.262 0.397
Mg 0.931 0.738 0.603
CELL_PARAMETERS angstrom
5.222 0.190 0.059
-0.512 7.746 -0.638
-0.478 -4.528 8.664
```

- Crystal system: triclinic
- Polymorph energy (0 for the lowest one): 0 meV/atom
- Symmetry: P-1, No. 2
- DFT formation energy: -27 meV/atom

=====

(14)
Compound: V2ZnS5
Source: the Alexandria database
Functional: PBE
Structure: relaxed Values from VASP.

Quantum ESPRESSO input file:
```
&SYSTEM
  ibrav = 0, nat = 16, ntyp = 3
/
ATOMIC_SPECIES
V 50.94 V.upf
Zn 65.41 Zn.upf
S 32.06 S.upf
ATOMIC_POSITIONS crystal
V 0.500 0.980 0.334
V 0.500 0.980 0.666
V 0.000 0.020 0.834
V 0.000 0.020 0.166
Zn 0.000 0.563 0.500
Zn 0.500 0.437 0.000
S 0.000 0.192 0.000
S 0.500 0.289 0.580
S 0.500 0.808 0.500
S 0.000 0.711 0.920
S 0.500 0.222 0.203
S 0.500 0.222 0.797
S 0.500 0.289 0.420
S 0.000 0.778 0.297
S 0.000 0.778 0.703
S 0.000 0.711 0.080
CELL_PARAMETERS angstrom
3.625 0.000 0.000
0.000 6.310 0.000
0.000 0.000 13.450
```

- Energy relative to the elements, uncorrected: -0.581 eV/atom
- Crystal system: orthorhombic
- Symmetry: Pmmn, No. 59

=====

The following E_tot values (in eV/cell) correspond, in order, to the records above: -16.63; -21.05; -44.18; -60.40; -11.57; -76.11; -17.60; -19.52; -20.43; -73.61; -14.43; -8.41; -15.49; -89.59.